# 1
A plane-wave DFT calculation with GGA-PBE was carried out for an optimized crystal structure of PmNd3Th2N6.

a b c (Å): 8.154 8.154 7.297
angles (deg): 102.91 102.91 25.92
Fractional positions:
1 Pm 0.000 0.000 0.000
2 Nd 0.000 0.000 0.500
3 Nd 0.335 0.335 0.165
4 Nd 0.665 0.665 0.835
5 Th 0.335 0.335 0.670
6 Th 0.665 0.665 0.330
7 N 0.166 0.166 0.093
8 N 0.170 0.170 0.574
9 N 0.496 0.496 0.749
10 N 0.504 0.504 0.251
11 N 0.830 0.830 0.426
12 N 0.834 0.834 0.907

Properties
ΔE_f (raw), kcal/mol of atoms: -34.5
Fermi-level density of states, states/eV/atom: 0.23
M_tot, Bohr magnetons per cell: 0.00



# 2
A plane-wave DFT calculation with GGA-PBE was carried out for an optimized crystal structure of Cd3SiRh.

a b c (Å): 5.100 5.100 5.100
angles (deg): 90.00 90.00 90.00
Fractional positions:
1 Cd 0.000 0.000 0.500
2 Cd 0.000 0.500 0.000
3 Cd 0.500 0.000 0.000
4 Si 0.500 0.500 0.500
5 Rh 0.000 0.000 0.000

Properties
ΔE_f (raw), kcal/mol of atoms: 15.1
Fermi-level density of states, states/eV/atom: 0.93
M_tot, Bohr magnetons per cell: 0.00



# 3
A plane-wave DFT calculation with GGA-PBE was carried out for an optimized crystal structure of CdH3Pd3.

a b c (Å): 7.629 7.629 7.629
angles (deg): 40.29 40.29 40.29
Fractional positions:
1 Cd 0.166 0.166 0.166
2 Cd 0.834 0.834 0.834
3 H 0.051 0.375 0.704
4 H 0.296 0.949 0.625
5 H 0.375 0.704 0.051
6 H 0.625 0.296 0.949
7 H 0.704 0.051 0.375
8 H 0.949 0.625 0.296
9 Pd 0.055 0.731 0.396
10 Pd 0.269 0.604 0.945
11 Pd 0.396 0.055 0.731
12 Pd 0.604 0.945 0.269
13 Pd 0.731 0.396 0.055
14 Pd 0.945 0.269 0.604

Properties
Fermi-level density of states, states/eV/atom: 0.22
M_tot, Bohr magnetons per cell: 0.00
Raw total energy, eV/atom: -3.9066